A geometry-optimized Ca2Pr2Tm structure. Source: Alexandria via LeMat-Bulk, functional PBE-GGA.

a b c (Å): 4.612 4.612 17.824
angles (deg): 90.00 90.00 90.00
Sites, in units of the cell vectors:
Ca 0.000 0.500 0.250
Ca 0.000 0.500 0.750
Ca 0.500 0.000 0.250
Ca 0.500 0.000 0.750
Pr 0.000 0.000 0.088
Pr 0.000 0.000 0.912
Pr 0.500 0.500 0.412
Pr 0.500 0.500 0.588
Tm 0.000 0.000 0.500
Tm 0.500 0.500 0.000

Properties
* spin magnetization: 0.00 μB per formula unit
* energy: -3.231 eV/atom
* space group: I4/mmm
* polymorph energy (0 for the lowest one): 342.8 meV/atom